(1)
Computed, not measured: a relaxed DyBRu crystal at the PBE-GGA level of DFT.

Cell and atoms, written as CIF:
```
data_DyBRu
_cell_length_a 3.6448
_cell_length_b 3.6448
_cell_length_c 4.2564
_cell_angle_alpha 90.00
_cell_angle_beta 90.00
_cell_angle_gamma 120.00
_symmetry_space_group_name_H-M 'P -6 m 2'
_symmetry_Int_Tables_number 187
_symmetry_space_group_name_Hall 'P -6 2'
loop_
_atom_site_label
_atom_site_type_symbol
_atom_site_fract_x
_atom_site_fract_y
_atom_site_fract_z
Dy1 Dy 0.0000 0.0000 0.0000
B1 B 0.3333 0.6667 0.5000
Ru1 Ru 0.6667 0.3333 0.5000
```

Calculated total energy: -21.88 eV per cell
D(E_F): 1.21 states/eV/f.u.
Energy of formation from the pure elements: -0.4400 eV/atom
Calculated volume: 16.3 A^3/atom



(2)
Computed, not measured: a relaxed TaZn2InN4 crystal at the PBE-GGA level of DFT.

Cell and atoms, written as CIF:
```
data_TaZn2InN4
_cell_length_a 6.834
_cell_length_b 5.834
_cell_length_c 5.489
_cell_angle_alpha 90.00
_cell_angle_beta 90.00
_cell_angle_gamma 90.00
_symmetry_space_group_name_H-M 'P m n 21'
_symmetry_Int_Tables_number 31
_symmetry_space_group_name_Hall 'P 2ac -2'
loop_
_atom_site_label
_atom_site_type_symbol
_atom_site_fract_x
_atom_site_fract_y
_atom_site_fract_z
Ta1 Ta 0.000 0.176 0.000
Zn1 Zn 0.249 0.668 0.999
In1 In 0.000 0.830 0.498
N1 N 0.000 0.181 0.356
N2 N 0.000 0.853 0.896
N3 N 0.234 0.335 0.876
```

Calculated total energy: -106.67 eV per cell
D(E_F): 0.00 states/eV/f.u.
Calculated volume: 13.7 A^3/atom